# 1
Density functional theory data (PBE-GGA) for crystalline Pm2BAs at its relaxed geometry.

Values from the calculation:
Crystal system: tetragonal
Symmetry: P4/mmm (123)
Fermi-level density of states in states/eV per cell: 3.4
Volume in Å³ per atom: 21.58
Calculated formation energy in kcal/mol of atoms: -4.32

a = 5.1519 Å, b = 5.1519 Å, c = 3.2524 Å
α = 90.00°, β = 90.00°, γ = 90.00°
Closest atoms and distances in Å follow each position.
Positions (direct):
1 Pm 0.0000 0.5000 0.0000  4 As 3.05, 4 B 3.05, 2 Pm 3.25
2 Pm 0.5000 0.0000 0.0000  4 As 3.05, 4 B 3.05, 2 Pm 3.25
3 B 0.0000 0.0000 0.5000  8 Pm 3.05, 2 B 3.25
4 As 0.5000 0.5000 0.5000  8 Pm 3.05, 2 As 3.25

---

# 2
Density functional theory data (PBE-GGA) for crystalline Pm2BAsPt6 at its relaxed geometry.

Values from the calculation:
Crystal system: orthorhombic
Symmetry: Pmmn (59)
Fermi-level density of states in states/eV per cell: 7.2
Volume in Å³ per atom: 18.50
Calculated formation energy in kcal/mol of atoms: -19.42

a = 5.7738 Å, b = 8.5593 Å, c = 7.4852 Å
α = 90.00°, β = 90.00°, γ = 90.00°
Closest atoms and distances in Å follow each position.
Positions (direct):
1 Pm 0.2500 0.0307 0.2227  9 Pt 3.03-3.25
2 Pm 0.2500 0.4693 0.2227  9 Pt 3.03-3.25
3 Pm 0.7500 0.5307 0.7773  9 Pt 3.03-3.25
4 Pm 0.7500 0.9693 0.7773  9 Pt 3.03-3.25
5 B 0.2500 0.2500 0.7018  6 Pt 2.10-2.17
6 B 0.7500 0.7500 0.2982  6 Pt 2.10-2.17
7 As 0.2500 0.7500 0.8198  4 Pt 2.47-2.48
8 As 0.7500 0.2500 0.1802  4 Pt 2.47-2.48
9 Pt 0.0065 0.7500 0.4980  1 B 2.10
10 Pt 0.0108 0.2500 0.9192  1 B 2.13
11 Pt 0.2500 0.0003 0.6526  1 B 2.17
12 Pt 0.2500 0.4997 0.6526  1 B 2.17
13 Pt 0.4892 0.2500 0.9192  1 B 2.13
14 Pt 0.4935 0.7500 0.4980  1 B 2.10
15 Pt 0.5065 0.2500 0.5020  1 B 2.10
16 Pt 0.5108 0.7500 0.0808  1 B 2.13
17 Pt 0.7500 0.9997 0.3474  1 B 2.17
18 Pt 0.7500 0.5003 0.3474  1 B 2.17
19 Pt 0.9892 0.7500 0.0808  1 B 2.13
20 Pt 0.9935 0.2500 0.5020  1 B 2.10

---

# 3
Density functional theory data (PBE-GGA) for crystalline Pm3B2AsPt9 at its relaxed geometry.

Values from the calculation:
Crystal system: trigonal
Symmetry: P-3m1 (164)
Fermi-level density of states in states/eV per cell: 5.0
Volume in Å³ per atom: 18.05
Calculated formation energy in kcal/mol of atoms: -18.08

a = 5.8152 Å, b = 5.8152 Å, c = 9.2450 Å
α = 90.00°, β = 90.00°, γ = 120.00°
Closest atoms and distances in Å follow each position.
Positions (direct):
1 Pm 0.0000 0.0000 0.0000  12 Pt 2.91-3.15
2 Pm 0.3333 0.6667 0.6064  9 Pt 3.07-3.39
3 Pm 0.6667 0.3333 0.3936  9 Pt 3.07-3.39
4 B 0.3333 0.6667 0.1484  6 Pt 2.12-2.17
5 B 0.6667 0.3333 0.8516  6 Pt 2.12-2.17
6 As 0.0000 0.0000 0.5000  6 Pt 2.58
7 Pt 0.0000 0.5000 0.0000  2 B 2.17
8 Pt 0.1666 0.3333 0.2879  1 B 2.12
9 Pt 0.1666 0.8334 0.2879  1 B 2.12
10 Pt 0.3333 0.1666 0.7121  1 B 2.12
11 Pt 0.5000 0.0000 0.0000  2 B 2.17
12 Pt 0.5000 0.5000 0.0000  2 B 2.17
13 Pt 0.6667 0.8334 0.2879  1 B 2.12
14 Pt 0.8334 0.1666 0.7121  1 B 2.12
15 Pt 0.8334 0.6667 0.7121  1 B 2.12

---

# 4
Density functional theory data (PBE-GGA) for crystalline PmBAsRh3 at its relaxed geometry.

Values from the calculation:
Crystal system: orthorhombic
Symmetry: Cmcm (63)
Fermi-level density of states in states/eV per cell: 3.9
Volume in Å³ per atom: 16.77
Calculated formation energy in kcal/mol of atoms: -15.69

a = 6.6758 Å, b = 6.6758 Å, c = 5.8094 Å
α = 90.00°, β = 90.00°, γ = 128.98°
Closest atoms and distances in Å follow each position.
Positions (direct):
1 Pm 0.2418 0.7582 0.7500  4 Rh 2.97-3.05, 1 B 3.20, 4 As 3.23-3.30
2 Pm 0.7582 0.2418 0.2500  4 Rh 2.97-3.05, 1 B 3.20, 4 As 3.23-3.30
3 B 0.4926 0.5074 0.2500  5 Rh 2.06-2.08
4 B 0.5074 0.4926 0.7500  5 Rh 2.06-2.08
5 As 0.1244 0.8756 0.2500  5 Rh 2.36-2.52
6 As 0.8756 0.1244 0.7500  5 Rh 2.36-2.52
7 Rh 0.2471 0.2471 0.0000  2 B 2.06
8 Rh 0.2471 0.2471 0.5000  2 B 2.06
9 Rh 0.3201 0.6799 0.2500  1 B 2.08
10 Rh 0.6799 0.3201 0.7500  1 B 2.08
11 Rh 0.7529 0.7529 0.0000  2 B 2.06
12 Rh 0.7529 0.7529 0.5000  2 B 2.06

---

Question: What is the formula in the second record?
Answer: Pm2BAsPt6

---

Question: calculated formation energy of number 4 (PmBAsRh3)?
Answer: -15.69 kcal/mol of atoms

---

Question: Which of these has the highest calculated formation energy?
Answer: Pm2BAs

---

Question: What is the volume in the fourth record?
Answer: 16.77 Å³ per atom